Entry from Alexandria: a relaxed TaTiOsPdPb crystal (PBE).

Cell lengths 9.3212, 3.1405, 7.1867 Å; angles 90.00, 116.00, 90.00 degrees
Space group Cm (No. 8)
Asymmetric unit:
Ta: 0.0000 0.0000 0.0000 (multiplicity 2)
Ti: 0.1881 0.0000 0.8059 (multiplicity 2)
Os: 0.4174 0.0000 0.6953 (multiplicity 2)
Pd: 0.2850 0.5000 0.1726 (multiplicity 2)
Pb: 0.0981 0.5000 0.4154 (multiplicity 2)

Results
The value obtained for the formation energy from the elements is 0.028 eV per atom. As for the polymorph energy (0 for the lowest one): 224 meV per atom. The total energy is -7.948 eV/atom. The value obtained for the magnetization is 0.00 μB/cell.

Entry from Alexandria: a relaxed CoPd2PtSe6 crystal (PBE).

Cell lengths 12.2870, 12.7679, 6.6309 Å; angles 90.00, 120.66, 90.00 degrees
Space group C2/c (No. 15)
Asymmetric unit:
Co: 0.0000 0.1990 0.2500 (multiplicity 4)
Pd: 0.1358 0.3854 0.2151 (multiplicity 8)
Pt: 0.0000 0.0804 0.7500 (multiplicity 4)
Se: 0.1103 0.4373 0.8294 (multiplicity 8)
Se: 0.1186 0.0769 0.5327 (multiplicity 8)
Se: 0.1376 0.1996 0.1143 (multiplicity 8)

Results
The uncorrected formation energy is -0.10 eV per atom. The total energy is -4.540 eV/atom. The value obtained for the magnetization is 0.00 μB/cell.

Entry from Alexandria: a relaxed CsMgSi2 crystal (PBE).

Cell lengths 5.2639, 5.2639, 18.6804 Å; angles 90.00, 90.00, 90.00 degrees
Space group I4_1/amd (No. 141, origin choice 2)
Asymmetric unit:
Cs: 0.0000 0.2500 0.3750 (multiplicity 4)
Mg: 0.0000 0.2500 0.8750 (multiplicity 4)
Si: 0.0000 0.0000 0.0000 (multiplicity 8)

Results
The uncorrected formation energy is 0.36 eV per atom. The total energy is -2.966 eV/atom. The value obtained for the magnetization is 0.00 μB/cell.

Entry from Alexandria: a relaxed Tb5Bi4Pb crystal (PBE).

Cell lengths 10.0327, 10.0327, 6.3454 Å; angles 90.00, 90.00, 90.00 degrees
Space group I4/m (No. 87)
Asymmetric unit:
Tb: 0.0000 0.0000 0.0000 (multiplicity 2)
Tb: 0.1003 0.7012 0.5000 (multiplicity 8)
Bi: 0.0988 0.6994 0.0000 (multiplicity 8)
Pb: 0.0000 0.0000 0.5000 (multiplicity 2)

Results
The value obtained for the formation energy from the elements is -0.773 eV per atom. The total energy is -5.011 eV/atom. The value obtained for the magnetization is 0.00 μB/cell.

Entry from Alexandria: a relaxed NiBiI crystal (PBE).

Cell lengths 3.7024, 6.9891, 6.9983 Å; angles 80.93, 83.94, 78.93 degrees
Space group P-1 (No. 2)
Asymmetric unit:
Ni: 0.0556 0.3824 0.3800 (multiplicity 2)
Bi: 0.4681 0.6842 0.3198 (multiplicity 2)
I: 0.3464 0.7976 0.7947 (multiplicity 2)

Results
The uncorrected formation energy is -0.01 eV per atom. As for the polymorph energy (0 for the lowest one): 95 meV per atom. The total energy is -3.750 eV/atom. The value obtained for the magnetization is 0.00 μB/cell.

Entry from Alexandria: a relaxed Pr5Dy3 crystal (PBE).

Cell lengths 5.1278, 5.1788, 10.3459 Å; angles 90.00, 90.00, 90.00 degrees
Space group Pmmm (No. 47)
Asymmetric unit:
Pr: 0.0000 0.0000 0.0000 (multiplicity 1)
Pr: 0.0000 0.0000 0.5000 (multiplicity 1)
Pr: 0.0000 0.5000 0.2471 (multiplicity 2)
Pr: 0.5000 0.5000 0.5000 (multiplicity 1)
Dy: 0.5000 0.0000 0.2474 (multiplicity 2)
Dy: 0.5000 0.5000 0.0000 (multiplicity 1)

Results
The value obtained for the formation energy from the elements is 0.019 eV per atom. As for the polymorph energy (0 for the lowest one): 0 meV per atom. The total energy is -4.694 eV/atom. The value obtained for the magnetization is 0.00 μB/cell.

Entry from Alexandria: a relaxed U2Se3S2 crystal (PBE).

Cell lengths 3.6238, 4.2566, 19.5954 Å; angles 90.00, 90.00, 90.00 degrees
Space group Immm (No. 71)
Asymmetric unit:
U: 0.0000 0.0000 0.1223 (multiplicity 4)
Se: 0.0000 0.5000 0.2511 (multiplicity 4)
Se: 0.0000 0.5000 0.5000 (multiplicity 2)
S: 0.0000 0.0000 0.3862 (multiplicity 4)

Results
The uncorrected formation energy is -0.86 eV per atom. The total energy is -6.757 eV/atom. The value obtained for the magnetization is 8.00 μB/cell.

Entry from Alexandria: a relaxed Nd4ErIn2 crystal (PBE).

Cell lengths 6.9825, 10.1203, 12.7570 Å; angles 90.00, 90.00, 90.00 degrees
Space group Fmmm (No. 69)
Asymmetric unit:
Nd: 0.2500 0.2500 0.0000 (multiplicity 8)
Nd: 0.2500 0.2500 0.2500 (multiplicity 8)
Er: 0.0000 0.0000 0.0000 (multiplicity 4)
In: 0.0000 0.0000 0.3764 (multiplicity 8)

Results
The value obtained for the formation energy from the elements is 0.042 eV per atom. As for the polymorph energy (0 for the lowest one): 220 meV per atom. The total energy is -4.117 eV/atom. The value obtained for the magnetization is 0.00 μB/cell.